Entry 1:
The following is a PBE calculation of a relaxed Mg2TeOs crystal, from the Alexandria database.

abc: 3.528 3.543 5.978
angles: 90.00 90.00 90.00
Space group Pmmm (No. 47)
Asymmetric unit:
Mg1 0.000 0.000 0.219 x2
Te1 0.500 0.500 0.500 x1
Os1 0.500 0.500 0.000 x1

Results
**Magnetization**: 0.000 μB per cell
**Energy relative to the elements, uncorrected**: 11.5 kJ/mol of atoms



Entry 2:
The following is a PBE calculation of a relaxed ZrAl3Tc crystal, from the Alexandria database.

abc: 4.917 4.917 4.917
angles: 90.00 90.00 90.00
Space group Pm-3m (No. 221)
Asymmetric unit:
Zr1 0.000 0.000 0.000 x1
Al1 0.000 0.000 0.500 x3
Tc1 0.500 0.500 0.500 x1

Results
**Magnetization**: 0.000 μB per cell
**Formation energy**: 163.9 kJ/mol of atoms



Entry 3:
The following is a PBE calculation of a relaxed Ce8TcRh2 crystal, from the Alexandria database.

abc: 7.823 12.601 5.791
angles: 90.00 109.96 90.00
Space group C2/m (No. 12)
Asymmetric unit:
Ce1 0.000 0.217 0.000 x4
Ce2 0.136 0.500 0.843 x4
Ce3 0.192 0.108 0.585 x8
Tc1 0.000 0.000 0.000 x2
Rh1 0.000 0.313 0.500 x4

Results
**Magnetization**: 3.464 μB per cell
**Formation energy**: -25.1 kJ/mol of atoms



Entry 4:
The following is a PBE calculation of a relaxed InGaAs2 crystal, from the Alexandria database.

abc: 5.976 5.976 11.866
angles: 90.00 90.00 90.00
Space group I-42d (No. 122)
Asymmetric unit:
In1 0.000 0.000 0.000 x4
Ga1 0.000 0.000 0.500 x4
As1 0.225 0.250 0.625 x8

Results
**Magnetization**: 0.000 μB per cell
**Formation energy**: -28.1 kJ/mol of atoms



Entry 5:
The following is a PBE calculation of a relaxed BaCaCl2 crystal, from the Alexandria database.

abc: 3.973 4.726 7.625
angles: 90.00 90.00 90.00
Space group Pmmm (No. 47)
Asymmetric unit:
Ba1 0.000 0.000 0.000 x1
Ca1 0.500 0.000 0.500 x1
Cl1 0.000 0.500 0.500 x1
Cl2 0.500 0.500 0.000 x1

Results
**Magnetization**: 0.001 μB per cell
**Energy relative to the elements, uncorrected**: -146.9 kJ/mol of atoms



Entry 6:
The following is a PBE calculation of a relaxed Pr3Sm3Er5 crystal, from the Alexandria database.

abc: 9.6369 9.6369 5.5591
angles: 90.00 90.00 120.00
Space group P-62m (No. 189)
Asymmetric unit:
Pr1 0.0000 0.3664 0.0000 x3
Sm1 0.0000 0.5377 0.5000 x3
Er1 0.0000 0.7297 0.0000 x3
Er2 0.3333 0.6667 0.0000 x2

Results
**Magnetization**: 0.001 μB per cell
**Formation energy**: 75.2 kJ/mol of atoms